This record from Alexandria describes crystalline CaCdAg2 at its relaxed geometry. The functional is PBE.

```
4
Lattice="3.614 0.000 0.000 0.000 3.614 0.000 0.000 0.000 6.875" Properties=species:S:1:pos:R:3 pbc="T T T"
Ca 0.000 0.000 0.000
Cd 1.807 1.807 2.083
Ag 0.000 0.000 3.576
Ag 1.807 1.807 5.025
```

Results
space-group type: P4mm, No. 99
M_tot: 0.00 μB per atom
energy of formation from the pure elements: -0.193 eV per atom

---

This record from Alexandria describes crystalline Ca2Cd2Ag at its relaxed geometry. The functional is PBE.

```
5
Lattice="-2.013 2.013 9.002 2.013 -2.013 9.002 2.013 2.013 -9.002" Properties=species:S:1:pos:R:3 pbc="T T T"
Ca 0.000 0.000 1.736
Ca 0.000 0.000 16.267
Cd 2.013 0.000 4.501
Cd 0.000 2.013 4.501
Ag 0.000 0.000 9.002
```

Results
energy above the most stable polymorph in this dataset: 17.1 kJ per mole of atoms
space-group type: I4/mmm, No. 139
M_tot: 0.00 μB per atom
energy of formation from the pure elements: -0.137 eV per atom

---

This record from Alexandria describes crystalline Ca2CdAg at its relaxed geometry. The functional is PBE.

```
4
Lattice="4.011 0.000 0.000 0.000 4.866 0.000 -1.996 0.000 5.856" Properties=species:S:1:pos:R:3 pbc="T T T"
Ca 0.000 0.000 0.000
Ca 0.001 2.433 3.403
Cd 2.006 2.433 0.840
Ag 2.007 0.000 2.562
```

Results
space-group type: Pm, No. 6
M_tot: 0.00 μB per atom
energy of formation from the pure elements: -0.315 eV per atom

---

This record from Alexandria describes crystalline CaCd6Ag8 at its relaxed geometry. The functional is PBE.

```
15
Lattice="4.179 2.413 5.337 -4.179 2.413 5.337 0.000 -4.826 5.337" Properties=species:S:1:pos:R:3 pbc="T T T"
Ca 0.000 0.000 0.000
Cd -1.793 0.114 5.865
Cd 0.798 -1.610 5.865
Cd -0.995 -1.496 10.147
Cd 0.995 1.496 5.865
Cd -0.798 1.610 10.147
Cd 1.793 -0.114 10.147
Ag -1.312 -2.525 7.500
Ag -2.843 -0.126 8.512
Ag 0.000 0.000 3.384
Ag -1.531 2.398 7.500
Ag 1.531 -2.398 8.512
Ag 0.000 0.000 12.628
Ag 2.842 0.126 7.500
Ag 1.312 2.525 8.512
```

Results
space-group type: R-3, No. 148
M_tot: 0.00 μB per atom
energy of formation from the pure elements: -0.036 eV per atom

---

| no. | DOS at the Fermi energy (states/eV/f.u.) |
| --- | --- |
| 1 | 1.64 |
| 2 | 2.71 |
| 3 | 2.54 |
| 4 | 3.89 |